Entry 1:
## KNb3Pd (PBE)

Data for a relaxed structure of KNb3Pd.

Its magnetization is 0.00 μB per formula unit. The energy above the most stable polymorph in this dataset is 5.29 eV per formula unit. Its uncorrected energy is -23.78 eV per cell. The calculation puts the formation energy at 2543.9 meV per atom.

Cell and atoms, written as extended XYZ:
```
5
Lattice="4.5935 0.0000 0.0000 0.0000 4.5935 0.0000 0.0000 0.0000 4.5935" Properties=species:S:1:pos:R:3 pbc="T T T"
K 0.0000 0.0000 0.0000
Nb 0.0000 0.0000 2.2967
Nb 0.0000 2.2967 0.0000
Nb 2.2967 0.0000 0.0000
Pd 2.2967 2.2967 2.2967
```



Entry 2:
## LiPa2Si (PBE)

Data for a relaxed structure of LiPa2Si.

Its magnetization is 0.00 μB per formula unit. The uncorrected formation energy is 166 meV/atom. The energy above the most stable polymorph in this dataset is 1.06 eV per formula unit. Its uncorrected energy is -25.67 eV per cell.

Cell and atoms, written as extended XYZ:
```
4
Lattice="1.5322 0.8846 11.1695 -1.5322 0.8846 11.1695 0.0000 -1.7692 11.1695" Properties=species:S:1:pos:R:3 pbc="T T T"
Li 0.0000 0.0000 0.0000
Pa 0.0000 0.0000 3.1628
Pa 0.0000 0.0000 30.3456
Si 0.0000 0.0000 16.7542
```



Entry 3:
## Ce2MgScTl4 (PBE)

Data for a relaxed structure of Ce2MgScTl4.

Its magnetization is 2.01 μB per formula unit. Its uncorrected energy is -31.10 eV per cell. The calculation puts the formation energy at -229.8 meV per atom.

Cell and atoms, written as extended XYZ:
```
8
Lattice="2.6471 1.5283 8.8108 -2.6471 1.5283 8.8108 0.0000 -3.0566 8.8108" Properties=species:S:1:pos:R:3 pbc="T T T"
Ce 0.0000 0.0000 6.4797
Ce 0.0000 0.0000 19.9527
Mg 0.0000 0.0000 13.2162
Sc 0.0000 0.0000 0.0000
Tl 0.0000 0.0000 3.2401
Tl 0.0000 0.0000 9.8549
Tl 0.0000 0.0000 16.5775
Tl 0.0000 0.0000 23.1924
```



Entry 4:
## Ce2DySc (PBE)

Data for a relaxed structure of Ce2DySc.

Its magnetization is 1.38 μB per formula unit. The energy above the most stable polymorph in this dataset is 0.45 eV per formula unit. Its uncorrected energy is -21.99 eV per cell. The calculation puts the formation energy at 203.3 meV per atom.

Cell and atoms, written as extended XYZ:
```
4
Lattice="0.0000 3.8911 3.8911 3.8911 0.0000 3.8911 3.8911 3.8911 0.0000" Properties=species:S:1:pos:R:3 pbc="T T T"
Ce 1.9456 1.9456 1.9456
Ce 5.8367 5.8367 5.8367
Dy 0.0000 0.0000 0.0000
Sc 3.8911 3.8911 3.8911
```



Entry 5:
## SnTeIr (PBE)

Data for a relaxed structure of SnTeIr.

Its magnetization is 0.00 μB per formula unit. The uncorrected formation energy is 11 meV/atom. Its uncorrected energy is -15.97 eV per cell.

Cell and atoms, written as extended XYZ:
```
3
Lattice="4.3742 -1.9156 0.0000 4.3742 1.9156 0.0000 -4.2670 0.0000 4.5902" Properties=species:S:1:pos:R:3 pbc="T T T"
Sn 0.0000 0.0000 0.0000
Te 6.5337 0.0000 2.1134
Ir 0.3692 0.0000 2.7546
```



Entry 6:
## BeZnInNiPd (PBE)

Data for a relaxed structure of BeZnInNiPd.

Its magnetization is 0.00 μB per formula unit. The energy above the most stable polymorph in this dataset is 0.21 eV per formula unit. Its uncorrected energy is -19.77 eV per cell. The calculation puts the formation energy at -211.7 meV per atom.

Cell and atoms, written as extended XYZ:
```
5
Lattice="2.9759 0.0000 0.0000 0.0000 1.8230 6.4773 0.0000 -1.8230 6.4773" Properties=species:S:1:pos:R:3 pbc="T T T"
Be 0.0000 0.0000 0.0000
Zn 1.4879 0.0000 5.6077
In 1.4879 0.0000 2.5121
Ni 0.0000 0.0000 7.6816
Pd 0.0000 0.0000 10.6519
```



Entry 7:
## BaZrOs2 (PBE)

Data for a relaxed structure of BaZrOs2.

Its magnetization is 0.00 μB per formula unit. The energy above the most stable polymorph in this dataset is 1.49 eV per formula unit. Its uncorrected energy is -30.66 eV per cell. The calculation puts the formation energy at 568.0 meV per atom.

Cell and atoms, written as extended XYZ:
```
4
Lattice="4.3315 -1.6054 0.0000 4.3315 1.6054 0.0000 -0.9693 0.0000 6.9203" Properties=species:S:1:pos:R:3 pbc="T T T"
Ba 0.0000 0.0000 0.0000
Zr 3.8469 0.0000 3.4601
Os 1.3875 0.0000 4.5498
Os 6.3062 0.0000 2.3705
```



Entry 8:
## Ba4La2Fe (PBE)

Data for a relaxed structure of Ba4La2Fe.

Its magnetization is 2.64 μB per formula unit. Its uncorrected energy is -21.58 eV per cell. The calculation puts the formation energy at 632.2 meV per atom.

Cell and atoms, written as extended XYZ:
```
7
Lattice="-3.1130 3.1130 9.3268 3.1130 -3.1130 9.3268 3.1130 3.1130 -9.3268" Properties=species:S:1:pos:R:3 pbc="T T T"
Ba 3.1130 0.0000 0.0000
Ba 0.0000 0.0000 3.2500
Ba 0.0000 3.1130 0.0000
Ba 0.0000 0.0000 15.4036
La 0.0000 0.0000 7.4546
La 0.0000 0.0000 11.1991
Fe 0.0000 0.0000 0.0000
```



Entry 9:
## LiPr4Pu3S8 (PBE)

Data for a relaxed structure of LiPr4Pu3S8.

Its magnetization is 17.18 μB per formula unit. The uncorrected formation energy is -1866 meV/atom. Its uncorrected energy is -126.90 eV per cell.

Cell and atoms, written as extended XYZ:
```
16
Lattice="4.0252 2.3239 6.5725 -4.0252 2.3239 6.5725 0.0000 -4.6478 6.5725" Properties=species:S:1:pos:R:3 pbc="T T T"
Li 0.0000 0.0000 0.0000
Pr -4.0252 0.0000 9.8587
Pr -2.0126 1.1620 3.2862
Pr 2.0126 1.1620 3.2862
Pr 0.0000 0.0000 9.8587
Pu -2.0126 -1.1620 6.5725
Pu -2.0126 1.1620 13.1449
Pu 0.0000 2.3239 6.5725
S 0.0000 -2.3446 8.1263
S -2.0305 1.1723 8.1263
S -2.0305 -1.1723 11.5911
S 0.0000 0.0000 5.0204
S 0.0000 0.0000 14.6970
S 2.0305 1.1723 8.1263
S 2.0305 -1.1723 11.5911
S 0.0000 2.3446 11.5911
```



Entry 10:
## TcGeI3 (PBE)

Data for a relaxed structure of TcGeI3.

Its magnetization is 1.33 μB per formula unit. The uncorrected formation energy is 650 meV/atom. The energy above the most stable polymorph in this dataset is 0.00 eV per formula unit. Its uncorrected energy is -16.38 eV per cell.

Cell and atoms, written as extended XYZ:
```
5
Lattice="5.4380 0.0000 0.0000 0.0000 5.4380 0.0000 0.0000 0.0000 5.4380" Properties=species:S:1:pos:R:3 pbc="T T T"
Tc 0.0000 0.0000 0.0000
Ge 2.7190 2.7190 2.7190
I 0.0000 0.0000 2.7190
I 0.0000 2.7190 0.0000
I 2.7190 0.0000 0.0000
```



Entry 11:
## SrMn3Tc (PBE)

Data for a relaxed structure of SrMn3Tc.

Its magnetization is 10.18 μB per formula unit. The energy above the most stable polymorph in this dataset is 0.00 eV per formula unit. Its uncorrected energy is -35.81 eV per cell. The calculation puts the formation energy at 749.1 meV per atom.

Cell and atoms, written as extended XYZ:
```
5
Lattice="4.8109 0.0000 0.0000 0.0000 4.8109 0.0000 0.0000 0.0000 4.8109" Properties=species:S:1:pos:R:3 pbc="T T T"
Sr 0.0000 0.0000 0.0000
Mn 0.0000 2.4054 2.4054
Mn 2.4054 0.0000 2.4054
Mn 2.4054 2.4054 0.0000
Tc 2.4054 2.4054 2.4054
```



Entry 12:
## Zr2BeNb (PBE)

Data for a relaxed structure of Zr2BeNb.

Its magnetization is 0.00 μB per formula unit. Its uncorrected energy is -30.56 eV per cell. The calculation puts the formation energy at 84.1 meV per atom.

Cell and atoms, written as extended XYZ:
```
4
Lattice="4.3761 0.0000 0.0000 0.0000 4.3761 0.0000 0.0000 0.0000 3.8545" Properties=species:S:1:pos:R:3 pbc="T T T"
Zr 0.0000 2.1880 0.0000
Zr 2.1880 0.0000 0.0000
Be 0.0000 0.0000 1.9273
Nb 2.1880 2.1880 1.9273
```



Entry 13:
## MnSi2SN (PBE)

Data for a relaxed structure of MnSi2SN.

Its magnetization is 0.00 μB per formula unit. The uncorrected formation energy is -224 meV/atom. The energy above the most stable polymorph in this dataset is 1.17 eV per formula unit. Its uncorrected energy is -33.59 eV per cell.

Cell and atoms, written as extended XYZ:
```
5
Lattice="3.5852 -1.4585 0.0000 3.5852 1.4585 0.0000 -0.7825 0.0000 6.3920" Properties=species:S:1:pos:R:3 pbc="T T T"
Mn 0.0000 0.0000 0.0000
Si 2.1290 0.0000 1.3539
Si 5.8460 0.0000 4.1252
S 4.2430 0.0000 5.5848
N 2.2309 0.0000 3.1697
```



Entry 14:
## CaAg2Pt (PBE)

Data for a relaxed structure of CaAg2Pt.

Its magnetization is 0.00 μB per formula unit. Its uncorrected energy is -12.90 eV per cell. The calculation puts the formation energy at 211.7 meV per atom.

Cell and atoms, written as extended XYZ:
```
4
Lattice="1.5338 0.8855 9.6231 -1.5338 0.8855 9.6231 0.0000 -1.7710 9.6231" Properties=species:S:1:pos:R:3 pbc="T T T"
Ca 0.0000 0.0000 0.0000
Ag 0.0000 0.0000 7.0746
Ag 0.0000 0.0000 21.7947
Pt 0.0000 0.0000 14.4347
```



Entry 15:
## Nd7Sm2Er2 (PBE)

Data for a relaxed structure of Nd7Sm2Er2.

Its magnetization is 0.00 μB per formula unit. The energy above the most stable polymorph in this dataset is 0.00 eV per formula unit. Its uncorrected energy is -103.22 eV per cell. The calculation puts the formation energy at 29.9 meV per atom.

Cell and atoms, written as extended XYZ:
```
22
Lattice="8.0665 -3.1875 0.0000 8.0665 3.1875 0.0000 -5.8371 0.0000 14.7286" Properties=species:S:1:pos:R:3 pbc="T T T"
Nd -2.2238 1.0539 13.0379
Nd 1.1368 2.1310 13.7019
Nd 3.6887 2.1053 11.0464
Nd 6.2406 2.1310 8.3910
Nd 5.3040 1.0563 5.0167
Nd 0.6948 -1.0539 5.6737
Nd 7.9106 1.0563 2.3476
Nd 2.3854 -1.0563 12.3810
Nd 9.6012 1.0539 9.0549
Nd 4.9920 -1.0563 9.7119
Nd 4.0553 -2.1310 6.3376
Nd 6.6073 -2.1053 3.6821
Nd 9.1592 -2.1310 1.0267
Nd 12.5197 -1.0539 1.6906
Sm 2.7866 1.0630 7.6901
Sm 4.5908 1.0630 14.4028
Sm 5.7052 -1.0630 0.3258
Sm 7.5093 -1.0630 7.0385
Er 0.2793 1.0621 10.3792
Er 3.1978 -1.0621 3.0150
Er 7.0982 1.0621 11.7136
Er 10.0167 -1.0621 4.3493
```



Entry 16:
## Ba2SmCu4O8 (PBE)

Data for a relaxed structure of Ba2SmCu4O8.

Its magnetization is 0.00 μB per formula unit. The uncorrected formation energy is -1663 meV/atom. Its uncorrected energy is -89.57 eV per cell.

Cell and atoms, written as extended XYZ:
```
15
Lattice="1.9557 -13.8231 0.0000 1.9557 13.8231 0.0000 0.0000 0.0000 3.9092" Properties=species:S:1:pos:R:3 pbc="T T T"
Ba 1.9557 10.0410 0.0000
Ba 1.9557 -10.0410 0.0000
Sm 0.0000 0.0000 0.0000
Cu 1.9557 5.8983 1.9546
Cu 1.9557 1.7479 1.9546
Cu 1.9557 -1.7479 1.9546
Cu 1.9557 -5.8983 1.9546
O 1.9557 12.3359 1.9546
O 1.9557 7.7894 1.9546
O 1.9557 4.0520 1.9546
O 1.9557 1.4936 0.0000
O 1.9557 -1.4936 0.0000
O 1.9557 -4.0520 1.9546
O 1.9557 -7.7894 1.9546
O 1.9557 -12.3359 1.9546
```



Entry 17:
## AcLaSn (PBE)

Data for a relaxed structure of AcLaSn.

Its magnetization is 0.00 μB per formula unit. The energy above the most stable polymorph in this dataset is 0.71 eV per formula unit. Its uncorrected energy is -14.13 eV per cell. The calculation puts the formation energy at -363.0 meV per atom.

Cell and atoms, written as extended XYZ:
```
3
Lattice="5.3250 0.0000 0.0000 -2.6625 4.6116 0.0000 0.0000 0.0000 4.3276" Properties=species:S:1:pos:R:3 pbc="T T T"
Ac 0.0000 0.0000 0.0000
La 0.0000 3.0744 1.8484
Sn 2.6625 1.5372 2.8019
```



Entry 18:
## ZrTa2Cd (PBE)

Data for a relaxed structure of ZrTa2Cd.

Its magnetization is 0.00 μB per formula unit. Its uncorrected energy is -32.34 eV per cell. The calculation puts the formation energy at 206.5 meV per atom.

Cell and atoms, written as extended XYZ:
```
4
Lattice="5.1323 -1.5044 0.0000 5.1323 1.5044 0.0000 -0.9947 0.0000 5.1527" Properties=species:S:1:pos:R:3 pbc="T T T"
Zr 0.0000 0.0000 0.0000
Ta 1.7764 0.0000 3.8213
Ta 7.4935 0.0000 1.3314
Cd 4.6350 0.0000 2.5763
```



Entry 19:
## CdInPd3 (PBE)

Data for a relaxed structure of CdInPd3.

Its magnetization is 0.00 μB per formula unit. The energy above the most stable polymorph in this dataset is 0.00 eV per formula unit. Its uncorrected energy is -42.64 eV per cell. The calculation puts the formation energy at -417.9 meV per atom.

Cell and atoms, written as extended XYZ:
```
10
Lattice="2.3348 -7.8840 0.0000 2.3348 7.8840 0.0000 0.0000 0.0000 4.6777" Properties=species:S:1:pos:R:3 pbc="T T T"
Cd 2.3348 5.5874 3.5083
Cd 2.3348 -5.5874 1.1694
In 2.3348 2.2792 3.5083
In 2.3348 -2.2792 1.1694
Pd 2.3348 7.0693 1.1694
Pd 2.3348 3.9439 1.1694
Pd 2.3348 0.8115 1.1694
Pd 2.3348 -0.8115 3.5083
Pd 2.3348 -3.9439 3.5083
Pd 2.3348 -7.0693 3.5083
```



Entry 20:
## La8P3SeS4 (PBE)

Data for a relaxed structure of La8P3SeS4.

Its magnetization is 0.00 μB per formula unit. The uncorrected formation energy is -1968 meV/atom. Its uncorrected energy is -107.13 eV per cell.

Cell and atoms, written as extended XYZ:
```
16
Lattice="4.2304 2.4424 6.8766 -4.2304 2.4424 6.8766 0.0000 -4.8848 6.8766" Properties=species:S:1:pos:R:3 pbc="T T T"
La -2.1701 -1.2529 12.0319
La 0.0000 -2.5058 8.5980
La -2.1700 1.2529 8.5980
La 0.0000 0.0000 5.1196
La 0.0000 0.0000 15.5103
La 2.1701 -1.2529 12.0319
La 0.0000 2.5058 12.0319
La 2.1700 1.2529 8.5980
P -4.2304 0.0000 10.3149
P -2.1152 1.2212 3.4383
P 2.1152 1.2212 3.4383
Se 0.0000 0.0000 10.3150
S 0.0000 0.0000 0.0000
S -2.1152 -1.2212 6.8766
S -2.1152 1.2212 13.7533
S 0.0000 2.4424 6.8766
```